CaZn2Ag: optimized geometry, GGA-PBE.

The space group is I-42d (No. 122) and the conventional cell measures 4.579, 4.579 and 18.786 Å, with angles of 90.00, 90.00 and 90.00 degrees. Symmetry generates all atoms from Ca at (0.000, 0.000, 0.000), Zn at (0.087, 0.250, 0.625) and Ag at (0.000, 0.000, 0.500).

The calculation puts the calculated total energy at -30.20 eV for the cell shown. Its formation energy is -37.3 meV/atom. The volume is 393.8 Å³ per cell. As for the density: 4.7 g cm⁻³.